The following is a GGA-PBE calculation of an optimized crystal structure of Th4CoRe, from the Alexandria database.

Structure (POSCAR):
```
Th4CoRe
1.0
-1.0413 4.0205 4.2761
-1.9242 -4.7620 4.0087
7.1883 0.2596 3.7588
Co Th Re
2 8 2
Cartesian
5.4851 0.4776 5.8475
-1.2623 -0.9595 6.1962
0.6282 0.1015 3.0693
0.9017 0.7589 6.7385
-0.0206 -1.5235 8.6599
-1.4340 -2.9757 3.7187
3.5947 -0.5834 8.9743
4.2434 1.0416 3.3838
3.3212 -1.2408 5.3051
5.6568 2.4938 8.3249
3.5006 1.9990 6.7022
0.7222 -2.4809 5.3414
```

* energy: -8.20 eV/atom
* calculated formation energy: 0.007 eV/atom

The following is a GGA-PBE calculation of an optimized crystal structure of HfMgW2, from the Alexandria database.

Structure (POSCAR):
```
HfMgW2
1.0
-1.2970 7.1204 1.8976
-4.1723 0.8785 -6.1484
-4.9494 3.2250 -0.7332
W Mg Hf
4 2 2
Cartesian
-8.4390 9.4054 -4.1828
-4.0254 2.3457 -3.7621
-2.5513 5.2660 0.2074
-5.8219 5.4307 -2.2306
-5.9282 4.0515 -4.5035
-2.7347 3.9994 -2.1254
0.0000 0.0000 0.0000
-4.4906 7.1724 -0.4805
```

* energy: -8.26 eV/atom
* calculated formation energy: 1.102 eV/atom

The following is a GGA-PBE calculation of an optimized crystal structure of ScRe2Ag, from the Alexandria database.

Structure (POSCAR):
```
ScRe2Ag
1.0
4.8420 0.0000 0.0000
0.0000 2.7637 -0.0132
0.0000 0.5793 5.0262
Sc Re Ag
1 2 1
Cartesian
2.4210 0.8358 1.2532
0.0000 1.8221 2.4278
0.0000 2.6131 0.0655
2.4210 2.5073 3.7597
```

* relative energy among the computed polymorphs: 243 meV per atom
* energy: -8.24 eV/atom
* calculated formation energy: 0.284 eV/atom

The following is a GGA-PBE calculation of an optimized crystal structure of BaMoAsBr2, from the Alexandria database.

Structure (POSCAR):
```
BaMoAsBr2
1.0
-4.9757 -0.7019 3.5512
-1.6364 -4.9482 -3.2708
3.4336 -3.8169 4.0565
Mo Ba Br As
1 1 2 1
Cartesian
-1.5892 -4.7335 2.1684
0.0000 0.0000 0.0000
-2.4878 -0.3509 1.7756
-0.8182 -2.4741 -1.6354
1.7168 -1.9085 2.0283
```

* relative energy among the computed polymorphs: 1077 meV per atom
* formation energy from raw total energies: 488 meV/atom
* energy: -3.66 eV/atom

The following is a GGA-PBE calculation of an optimized crystal structure of LaThCd4, from the Alexandria database.

Structure (POSCAR):
```
LaThCd4
1.0
6.0256 0.0000 0.0000
3.0128 5.2184 0.0000
3.0128 1.7395 4.9199
Cd La Th
4 1 1
Cartesian
6.0257 1.7383 3.0754
7.5331 4.3492 3.0754
6.0257 3.4789 0.6137
4.5182 4.3492 3.0754
3.0128 1.7395 1.2300
0.0000 0.0000 0.0000
```

* relative energy among the computed polymorphs: 0 meV per atom
* energy: -2.88 eV/atom
* calculated formation energy: -0.217 eV/atom

The following is a GGA-PBE calculation of an optimized crystal structure of TbHo4Er2Tm2, from the Alexandria database.

Structure (POSCAR):
```
TbHo4Er2Tm2
1.0
-3.4906 -0.2150 0.5539
1.0105 -5.8718 -7.2279
1.5754 -3.7536 8.4708
Ho Er Tm Tb
4 2 2 1
Cartesian
-1.1584 -6.3687 1.5456
-1.2456 -1.5847 2.8524
0.3409 -8.2557 -1.0556
0.2537 -3.4717 0.2512
-1.7376 -5.5658 -1.7927
0.8329 -4.2746 3.5896
-1.9911 -2.1087 -2.0485
1.0864 -7.7317 3.8454
0.0000 0.0000 0.0000
```

* energy: -4.56 eV/atom
* calculated formation energy: 0.001 eV/atom

The following is a GGA-PBE calculation of an optimized crystal structure of NaTeBrN2, from the Alexandria database.

Structure (POSCAR):
```
NaTeBrN2
1.0
-0.7641 4.4594 -0.5523
-0.5408 -0.6474 -4.4793
-6.3069 -0.9689 0.9014
N Te Na Br
2 1 1 1
Cartesian
-0.2704 -0.3237 -2.2396
-0.3820 2.2297 -0.2762
-3.1534 -0.4845 0.4507
0.0000 0.0000 0.0000
-3.8058 1.4215 -2.0651
```

* relative energy among the computed polymorphs: 48 meV per atom
* formation energy from raw total energies: 1767 meV/atom
* energy: -2.79 eV/atom

The following is a GGA-PBE calculation of an optimized crystal structure of KLa2Mg, from the Alexandria database.

Structure (POSCAR):
```
KLa2Mg
1.0
3.7884 0.0000 0.0000
0.0000 3.7884 0.0000
0.0000 0.0000 11.1443
K La Mg
1 2 1
Cartesian
1.8942 1.8942 8.0570
1.8942 1.8942 2.9977
0.0000 0.0000 0.5002
0.0000 0.0000 5.1614
```

* energy: -3.00 eV/atom
* calculated formation energy: 0.138 eV/atom

The following is a GGA-PBE calculation of an optimized crystal structure of Tb3Pr3Mg, from the Alexandria database.

Structure (POSCAR):
```
Tb3Pr3Mg
1.0
5.7066 0.0000 0.0000
0.0000 9.6439 0.0162
0.0000 -4.8365 8.3439
Tb Pr Mg
6 6 2
Cartesian
1.4266 5.4364 6.3994
4.2799 -0.6290 1.9607
1.4266 1.3822 1.5250
4.2799 3.4253 6.8351
4.2799 -2.8248 7.9093
1.4266 7.6323 0.4508
4.2799 5.5897 0.8581
1.4266 -1.2982 3.9334
4.2799 6.1057 4.4267
1.4266 -0.7822 7.5020
1.4266 2.0498 5.2695
4.2799 2.7576 3.0906
1.4266 4.8181 2.7896
4.2799 -0.0107 5.5705
```

* relative energy among the computed polymorphs: 0 meV per atom
* energy: -4.25 eV/atom
* calculated formation energy: 0.014 eV/atom

The following is a GGA-PBE calculation of an optimized crystal structure of NaYMg2, from the Alexandria database.

Structure (POSCAR):
```
NaYMg2
1.0
0.0000 3.8080 3.8080
3.8080 0.0000 3.8080
3.8080 3.8080 0.0000
Y Na Mg
1 1 2
Cartesian
3.8080 3.8080 3.8080
0.0000 0.0000 0.0000
1.9040 1.9040 1.9040
5.7119 5.7119 5.7119
```

* relative energy among the computed polymorphs: 77 meV per atom
* energy: -2.63 eV/atom
* calculated formation energy: 0.116 eV/atom

The following is a GGA-PBE calculation of an optimized crystal structure of Zr2BeSi, from the Alexandria database.

Structure (POSCAR):
```
Zr2BeSi
1.0
-2.9174 3.6969 -1.1004
-3.0172 -3.4680 1.5028
0.2273 1.0105 2.7900
Si Zr Be
1 2 1
Cartesian
-1.3950 -1.2288 2.1464
0.0000 0.0000 0.0000
-2.9673 0.1144 0.2012
-1.3451 2.3537 0.8448
```

* relative energy among the computed polymorphs: 328 meV per atom
* formation energy from raw total energies: -320 meV/atom
* energy: -6.88 eV/atom

The following is a GGA-PBE calculation of an optimized crystal structure of Pr6CoCu2Br3, from the Alexandria database.

Structure (POSCAR):
```
Pr6CoCu2Br3
1.0
-3.6749 1.7339 -5.9511
-2.9935 -4.3404 4.9119
-0.7314 6.9963 3.9581
Pr Co Br Cu
6 1 3 2
Cartesian
-1.7499 1.7781 -1.1448
-1.5356 -0.1321 2.2713
-5.8642 4.5219 0.6475
-5.6499 2.6117 4.0637
-5.1834 -0.5356 0.0257
-2.2164 4.9254 2.8932
0.0000 0.0000 0.0000
-3.6999 2.1949 1.4594
-3.9256 4.2065 -2.1380
-3.4742 0.1833 5.0569
-3.2216 -2.3068 1.2752
-3.4468 -0.2997 -2.3143
```

* formation energy from raw total energies: -677 meV/atom
* energy: -4.76 eV/atom

The following is a GGA-PBE calculation of an optimized crystal structure of TlBrO2, from the Alexandria database.

Structure (POSCAR):
```
TlBrO2
1.0
4.3834 0.1314 -0.1493
1.3157 6.5543 -0.4979
-1.7478 -2.3399 6.6953
Br O Tl
2 4 2
Cartesian
-0.1074 0.7707 4.0853
2.3017 0.7111 0.1463
1.6749 3.4660 5.3013
2.3771 3.1276 1.0118
1.2159 3.8696 1.0975
2.2100 -1.1405 6.4665
4.0655 4.1191 3.2610
2.2326 1.2618 6.0011
```

* relative energy among the computed polymorphs: 107 meV per atom
* formation energy from raw total energies: -238 meV/atom
* energy: -3.73 eV/atom

The following is a GGA-PBE calculation of an optimized crystal structure of Nd2YHo, from the Alexandria database.

Structure (POSCAR):
```
Nd2YHo
1.0
5.7538 0.0000 0.0000
2.8769 4.9830 0.0000
2.8769 1.6610 4.6980
Nd Ho Y
2 1 1
Cartesian
8.6308 4.9830 3.5235
2.8769 1.6610 1.1745
0.0000 0.0000 0.0000
5.7538 3.3220 2.3490
```

* relative energy among the computed polymorphs: 96 meV per atom
* energy: -5.04 eV/atom
* calculated formation energy: 0.107 eV/atom

The following is a GGA-PBE calculation of an optimized crystal structure of Re2AgPbO8, from the Alexandria database.

Structure (POSCAR):
```
Re2AgPbO8
1.0
6.7465 0.0000 0.0000
3.3733 5.7878 0.7654
3.3733 2.9980 6.1016
Pb Re O Ag
1 2 8 1
Cartesian
0.0000 0.0000 0.0000
3.3733 1.8689 1.0801
10.1198 6.9169 5.7869
6.7465 3.5720 1.4254
10.1198 5.3508 4.9544
8.6713 7.8848 5.4192
3.3733 3.4350 1.9126
6.7465 5.2137 5.4416
4.8218 0.9010 1.4478
1.9247 0.9010 1.4478
11.5683 7.8848 5.4192
6.7465 4.3929 3.4335
```

* formation energy from raw total energies: -1296 meV/atom
* energy: -7.22 eV/atom

The following is a GGA-PBE calculation of an optimized crystal structure of KAcUS4, from the Alexandria database.

Structure (POSCAR):
```
KAcUS4
1.0
8.3047 0.0000 0.0000
-4.1523 7.6244 -0.6001
0.0000 -4.6491 7.6457
S K U Ac
8 2 2 2
Cartesian
0.0000 2.5240 2.0553
6.0718 -0.8128 2.1239
1.9195 3.7881 4.9216
-1.9195 3.7881 4.9216
2.2328 -0.8128 2.1239
4.1523 0.4513 4.9903
0.0000 0.6616 5.1181
4.1523 2.3137 1.9274
4.1523 5.0635 0.4608
0.0000 -2.0882 6.5847
-2.0762 1.4876 3.5228
2.0762 1.4876 3.5228
4.1523 0.0000 0.0000
4.1523 -2.3246 3.8228
```

* formation energy from raw total energies: -1643 meV/atom
* energy: -6.36 eV/atom

The following is a GGA-PBE calculation of an optimized crystal structure of SrCd2Pd, from the Alexandria database.

Structure (POSCAR):
```
SrCd2Pd
1.0
-0.0439 0.8003 3.5482
-2.0644 -2.9271 0.6347
6.0014 -4.0199 0.9810
Pd Cd Sr
1 2 1
Cartesian
-1.0542 -1.0634 2.0914
1.1645 -0.7800 0.1904
4.8369 -3.2399 0.7907
1.9466 -3.0733 2.5820
```

* energy: -2.49 eV/atom
* calculated formation energy: -0.317 eV/atom

The following is a GGA-PBE calculation of an optimized crystal structure of Tb2ErCu4, from the Alexandria database.

Structure (POSCAR):
```
Tb2ErCu4
1.0
4.8522 0.0000 -1.5467
-0.4931 4.8271 -1.5467
-0.5271 -0.5837 6.7304
Tb Er Cu
2 1 4
Cartesian
0.9558 1.0584 2.9983
2.8762 3.1850 0.6387
0.0000 0.0000 0.0000
1.0271 3.8239 3.2222
3.6997 1.4104 3.2222
2.8048 0.4194 0.4148
0.1322 2.8329 0.4148
```

* energy: -4.34 eV/atom
* calculated formation energy: -0.022 eV/atom

The following is a GGA-PBE calculation of an optimized crystal structure of CaFe2Re, from the Alexandria database.

Structure (POSCAR):
```
CaFe2Re
1.0
-0.5568 -5.0009 7.6467
-0.0139 -7.1001 5.7775
2.1446 -5.6021 6.9143
Ca Fe Re
1 2 1
Cartesian
1.1804 -13.2773 15.2539
0.8028 -9.0300 10.3743
1.5580 -17.5246 20.1335
0.3935 -4.4258 5.0846
```

* energy: -7.15 eV/atom
* calculated formation energy: 0.692 eV/atom

The following is a GGA-PBE calculation of an optimized crystal structure of Li2AcInO4, from the Alexandria database.

Structure (POSCAR):
```
Li2AcInO4
1.0
-2.6239 4.7097 1.2852
-4.9042 -0.0022 1.9466
-0.5607 1.5840 5.0017
Li O In Ac
2 4 1 1
Cartesian
-6.0667 4.7185 6.1752
-2.0222 1.5730 2.0582
-5.0971 4.3584 2.7746
-4.9005 1.2361 4.1162
-2.0354 2.9861 3.5525
-4.1446 4.0026 6.0235
-4.0444 3.1458 4.1167
-4.9041 -0.0022 1.9466
```

* formation energy from raw total energies: -2213 meV/atom
* energy: -6.03 eV/atom